Record 1
A relaxed NdZnBi crystal. Source: Alexandria, functional PBE-GGA.

Cell lengths 4.325, 4.325, 5.521 Å; angles 113.06, 113.06, 90.00 degrees
Fractional positions:
Zn  0.620  0.620  0.241
Bi  0.940  0.940  0.880
Nd  0.289  0.289  0.579

## Properties
spin magnetization: 0.000 μB per formula unit
DFT total energy: -3.620 eV/atom
theoretical density: 8.1 g/cm3
formation enthalpy at 0 K: -312 meV/atom

---

Record 2
A relaxed BeCoOs3 crystal. Source: Alexandria, functional PBE-GGA.

Cell lengths 4.041, 4.041, 4.041 Å; angles 90.00, 90.00, 90.00 degrees
Fractional positions:
Os  0.000  0.500  0.000
Os  0.500  0.000  0.000
Os  0.000  0.000  0.500
Be  0.000  0.000  0.000
Co  0.500  0.500  0.500

## Properties
spin magnetization: 0.001 μB per formula unit
energy above the most stable polymorph in this dataset: 0.0 meV per atom
DFT total energy: -8.000 eV/atom
theoretical density: 16.1 g/cm3
formation enthalpy at 0 K: 905 meV/atom

---

Record 3
A relaxed La2TlRh2 crystal. Source: Alexandria, functional PBE-GGA.

Cell lengths 4.071, 4.071, 8.630 Å; angles 76.36, 76.36, 90.00 degrees
Fractional positions:
Rh  0.750  0.250  0.500
Rh  0.250  0.750  0.500
La  0.369  0.369  0.261
La  0.631  0.631  0.739
Tl  0.000  0.000  0.000

## Properties
spin magnetization: 0.000 μB per formula unit
DFT total energy: -5.781 eV/atom
theoretical density: 8.5 g/cm3
formation enthalpy at 0 K: -396 meV/atom

---

Record 4
A relaxed NpPRu2 crystal. Source: Alexandria, functional PBE-GGA.

Cell lengths 3.846, 3.846, 9.065 Å; angles 90.00, 90.00, 90.00 degrees
Fractional positions:
Ru  0.500  0.500  0.500
Ru  0.000  0.000  0.500
Ru  0.500  0.000  0.915
Ru  0.000  0.500  0.085
P  0.500  0.000  0.650
P  0.000  0.500  0.350
Np  0.500  0.000  0.211
Np  0.000  0.500  0.789

## Properties
spin magnetization: 2.586 μB per formula unit
DFT total energy: -9.632 eV/atom
theoretical density: 11.6 g/cm3
formation enthalpy at 0 K: -406 meV/atom

---

Record 5
A relaxed Ca2PrGa crystal. Source: Alexandria, functional PBE-GGA.

Cell lengths 5.364, 5.409, 9.954 Å; angles 90.00, 90.00, 119.73 degrees
Fractional positions:
Ca  0.334  0.668  0.569
Ca  0.666  0.332  0.069
Ca  0.666  0.332  0.431
Ca  0.334  0.668  0.931
Pr  0.998  0.996  0.250
Pr  0.002  0.004  0.750
Ga  0.330  0.660  0.250
Ga  0.670  0.340  0.750

## Properties
spin magnetization: 0.000 μB per formula unit
energy above the most stable polymorph in this dataset: 0.0 meV per atom
DFT total energy: -3.168 eV/atom
theoretical density: 3.9 g/cm3
formation enthalpy at 0 K: -216 meV/atom

---

Record 6
A relaxed NaSr2Tl5Cd2 crystal. Source: Alexandria, functional PBE-GGA.

Cell lengths 4.492, 11.651, 11.651 Å; angles 90.00, 90.00, 90.00 degrees
Fractional positions:
Tl  0.500  0.938  0.199
Tl  0.500  0.000  0.500
Tl  0.500  0.438  0.301
Tl  0.500  0.562  0.699
Tl  0.500  0.801  0.938
Tl  0.500  0.500  0.000
Tl  0.500  0.301  0.562
Tl  0.500  0.699  0.438
Tl  0.500  0.062  0.801
Tl  0.500  0.199  0.062
Cd  0.000  0.872  0.372
Cd  0.000  0.628  0.872
Cd  0.000  0.372  0.128
Cd  0.000  0.128  0.628
Sr  0.000  0.828  0.672
Sr  0.000  0.672  0.172
Sr  0.000  0.328  0.828
Sr  0.000  0.172  0.328
Na  0.000  0.000  0.000
Na  0.000  0.500  0.500

## Properties
spin magnetization: 0.000 μB per formula unit
DFT total energy: -2.056 eV/atom
theoretical density: 7.9 g/cm3
formation enthalpy at 0 K: -222 meV/atom

---

Record 7
A relaxed ScTa3C4 crystal. Source: Alexandria, functional PBE-GGA.

Cell lengths 3.174, 5.525, 5.525 Å; angles 70.80, 90.00, 90.00 degrees
Fractional positions:
C  0.500  0.753  0.253
C  0.000  0.758  0.742
C  0.000  0.242  0.258
C  0.500  0.247  0.747
Ta  0.000  0.000  0.000
Ta  0.000  0.500  0.500
Ta  0.500  0.000  0.500
Sc  0.500  0.500  0.000

## Properties
spin magnetization: 0.000 μB per formula unit
DFT total energy: -10.519 eV/atom
theoretical density: 11.5 g/cm3
formation enthalpy at 0 K: -671 meV/atom

---

Record 8
A relaxed Ce2TeSe crystal. Source: Alexandria, functional PBE-GGA.

Cell lengths 4.219, 4.219, 7.979 Å; angles 74.67, 74.67, 60.00 degrees
Fractional positions:
Se  0.668  0.668  0.996
Te  0.499  0.499  0.504
Ce  0.260  0.260  0.221
Ce  0.073  0.073  0.780

## Properties
spin magnetization: 2.170 μB per formula unit
energy above the most stable polymorph in this dataset: 49.2 meV per atom
DFT total energy: -6.158 eV/atom
theoretical density: 6.9 g/cm3
formation energy without anion corrections: -1535 meV per atom

---

Record 9
A relaxed CaAg2HgP crystal. Source: Alexandria, functional PBE-GGA.

Cell lengths 5.643, 5.272, 5.643 Å; angles 90.00, 90.00, 90.00 degrees
Fractional positions:
Ag  0.500  0.000  0.000
Ag  0.000  0.000  0.500
Hg  0.500  0.500  0.500
Ca  0.000  0.000  0.000
P  0.000  0.500  0.000

## Properties
spin magnetization: 0.867 μB per formula unit
DFT total energy: -1.874 eV/atom
theoretical density: 4.8 g/cm3
formation enthalpy at 0 K: 809 meV/atom

---

Record 10
A relaxed In2CuPd2 crystal. Source: Alexandria, functional PBE-GGA.

Cell lengths 7.446, 7.446, 3.306 Å; angles 90.00, 90.00, 90.00 degrees
Fractional positions:
Cu  0.500  0.500  0.000
Cu  0.000  0.000  0.000
In  0.846  0.654  0.000
In  0.346  0.846  0.000
In  0.654  0.154  0.000
In  0.154  0.346  0.000
Pd  0.645  0.855  0.500
Pd  0.855  0.355  0.500
Pd  0.355  0.145  0.500
Pd  0.145  0.645  0.500

## Properties
spin magnetization: 0.000 μB per formula unit
energy above the most stable polymorph in this dataset: 84.4 meV per atom
DFT total energy: -4.197 eV/atom
theoretical density: 9.2 g/cm3
formation enthalpy at 0 K: -205 meV/atom

---

Record 11
A relaxed Y6InPt crystal. Source: Alexandria, functional PBE-GGA.

Cell lengths 7.060, 7.069, 7.351 Å; angles 61.35, 61.44, 60.02 degrees
Fractional positions:
Y  0.039  0.428  0.754
Y  0.961  0.572  0.246
Y  0.221  0.962  0.246
Y  0.779  0.038  0.754
Y  0.572  0.220  0.246
Y  0.428  0.780  0.754
In  0.500  0.500  0.500
Pt  0.000  0.000  0.000

## Properties
spin magnetization: 0.000 μB per formula unit
DFT total energy: -6.147 eV/atom
theoretical density: 5.3 g/cm3
formation enthalpy at 0 K: -202 meV/atom

---

Record 12
A relaxed TaCrS2N crystal. Source: Alexandria, functional PBE-GGA.

Cell lengths 4.896, 4.896, 3.896 Å; angles 90.00, 90.00, 90.00 degrees
Fractional positions:
Ta  0.000  0.000  0.000
S  0.500  0.000  0.000
S  0.000  0.500  0.000
Cr  0.500  0.500  0.500
N  0.000  0.000  0.500

## Properties
spin magnetization: 4.019 μB per formula unit
energy above the most stable polymorph in this dataset: 0.0 meV per atom
DFT total energy: -7.599 eV/atom
theoretical density: 5.5 g/cm3
formation energy without anion corrections: 12 meV per atom